i | Ca2AlPb: optimized geometry, PBE.

The calculation puts the density of states at the Fermi level at 1.19 states/eV/cell. The density comes out at 4.65 g cm⁻³.

Cell lengths 3.762, 3.762, 7.923 Å; angles 90.00, 90.00, 90.00 degrees
Sites, in units of the cell vectors:
Ca  0.000  0.000  0.985
Ca  0.000  0.000  0.515
Al  0.500  0.500  0.750
Pb  0.500  0.500  0.250


ii | Ca2AlPb: optimized geometry, PBE.

The calculation puts the density of states at the Fermi level at 2.21 states/eV/cell. The density comes out at 4.57 g cm⁻³.

Cell lengths 6.355, 6.355, 5.660 Å; angles 71.76, 71.76, 31.89 degrees
Sites, in units of the cell vectors:
Pb  0.529  0.529  0.537
Ca  0.767  0.767  0.691
Ca  0.977  0.977  0.071
Al  0.226  0.226  0.201


Which of them is the least stable? Correct choice: ii.